A geometry-optimized HfScNb structure. Source: Alexandria via LeMat-Bulk, functional GGA-PBE.

a b c (Å): 3.3556 4.7436 14.9414
angles (deg): 50.70 116.62 135.03
Closest atoms and distances in Å follow each position.
Fractional coordinates of all 6 atoms:
Nb1 0.0003 0.1208 0.0645  4 Nb 2.80-2.81, 4 Hf 2.97
Nb2 0.9997 0.8792 0.9355  4 Nb 2.80-2.81, 4 Hf 2.97
Sc1 0.0001 0.4478 0.4011  4 Hf 3.17, 8 Sc 3.29-3.36
Sc2 0.9999 0.5522 0.5989  4 Hf 3.17, 8 Sc 3.29-3.36
Hf1 0.9995 0.6885 0.7807  5 Nb 2.97-3.28, 4 Sc 3.17
Hf2 0.0005 0.3115 0.2193  5 Nb 2.97-3.28, 4 Sc 3.17

spin magnetization: 0.0 Bohr magnetons per cell
offset from the most stable computed form: 0.0000 eV per atom
formation energy: 0.044 eV per atom
total DFT energy (no corrections): -8.7409 eV/atom